DFT (PBE-GGA) results for a geometry-optimized Sm8CoC3Br4 structure.

Values from the calculation:
- DFT total energy: -5.76 eV/atom
- Total moment: 0.0 μB/f.u.
- Uncorrected formation energy: -0.807 eV per atom

a = 7.684 Å, b = 8.585 Å, c = 7.687 Å
α = 116.62°, β = 119.99°, γ = 90.00°
Sites, in units of the cell vectors:
Sm (0.234, 0.685, 0.951)
C (0.000, 0.500, 0.500)
C (0.500, 0.500, 0.500)
Br (0.500, 0.000, 0.500)
Sm (0.283, 0.315, 0.049)
Co (0.000, 0.500, 0.000)
Sm (0.273, 0.318, 0.545)
Sm (0.766, 0.315, 0.049)
Br (0.000, 0.000, 0.500)
Br (0.000, 0.000, 0.000)
Sm (0.766, 0.315, 0.531)
Sm (0.717, 0.685, 0.951)
Sm (0.234, 0.685, 0.469)
Br (0.500, 0.000, 0.000)
C (0.500, 0.500, 0.000)
Sm (0.727, 0.682, 0.455)

=====

DFT (PBE-GGA) results for a geometry-optimized VCo2CBr structure.

Values from the calculation:
- DFT total energy: -4.59 eV/atom
- Total moment: 0.0 μB/f.u.
- Uncorrected formation energy: 2.251 eV per atom

a = 4.284 Å, b = 4.620 Å, c = 4.284 Å
α = 90.00°, β = 90.00°, γ = 90.00°
Sites, in units of the cell vectors:
Br (0.000, 0.500, 0.000)
C (0.500, 0.500, 0.500)
Co (0.500, 0.000, 0.000)
V (0.000, 0.000, 0.000)
Co (0.000, 0.000, 0.500)